DFT (PBE) results for a geometry-optimized EuUAl4 structure.

Structure (extended XYZ):
```
6
Lattice="5.5896 0.0000 0.0000 2.7948 4.8407 0.0000 2.7948 1.6136 4.5639" Properties=species:S:1:pos:R:3 pbc="T T T"
Eu 2.7948 1.6136 1.1410
U 0.0000 0.0000 0.0000
Al 5.5896 3.2271 0.5592
Al 5.5896 1.6029 2.8562
Al 6.9962 4.0392 2.8562
Al 4.1830 4.0392 2.8562
```

Output
As for the crystal system: cubic. The formation energy comes out at -0.17 eV per atom.